No. 1
DFT (SCAN) results for Hf2Zr2Al at its PBEsol-relaxed geometry.

Cell lengths 7.611, 7.611, 7.611 Å; angles 149.88, 149.88, 43.12 degrees
Fractional coordinates of all 5 atoms:
Hf  0.089  0.089  0.000
Hf  0.911  0.911  0.000
Zr  0.250  0.750  0.500
Zr  0.750  0.250  0.500
Al  0.500  0.500  0.000

Total DFT energy (no corrections) (eV per cell): -191.9
Total magnetization (Bohr magnetons per cell): 0.000
Space-group type: I4/mmm (139)
DFT formation energy (eV per atom): 0.523
ρ (g cm⁻³): 8.5

No. 2
DFT (SCAN) results for Hf2ZrAl2 at its PBEsol-relaxed geometry.

Cell lengths 7.608, 7.608, 3.357 Å; angles 90.00, 90.00, 90.00 degrees
Fractional coordinates of all 10 atoms:
Hf  0.178  0.322  0.000
Hf  0.322  0.822  0.000
Hf  0.678  0.178  0.000
Hf  0.822  0.678  0.000
Zr  0.000  0.000  0.500
Zr  0.500  0.500  0.500
Al  0.120  0.620  0.500
Al  0.380  0.120  0.500
Al  0.620  0.880  0.500
Al  0.880  0.380  0.500

Total DFT energy (no corrections) (eV per cell): -346.5
Total magnetization (Bohr magnetons per cell): 0.047
Space-group type: P4/mbm (127)
DFT formation energy (eV per atom): -0.344
ρ (g cm⁻³): 8.6

No. 3
DFT (SCAN) results for HfZr2Al2 at its PBEsol-relaxed geometry.

Cell lengths 7.571, 7.571, 3.439 Å; angles 90.00, 90.00, 90.00 degrees
Fractional coordinates of all 10 atoms:
Hf  0.000  0.000  0.000
Hf  0.500  0.500  0.000
Zr  0.177  0.323  0.500
Zr  0.323  0.823  0.500
Zr  0.677  0.177  0.500
Zr  0.823  0.677  0.500
Al  0.121  0.621  0.000
Al  0.379  0.121  0.000
Al  0.621  0.879  0.000
Al  0.879  0.379  0.000

Total DFT energy (no corrections) (eV per cell): -283.1
Total magnetization (Bohr magnetons per cell): 0.252
Space-group type: P4/mbm (127)
DFT formation energy (eV per atom): -0.392
ρ (g cm⁻³): 7.0

No. 4
DFT (SCAN) results for AlHg2 at its PBEsol-relaxed geometry.

Cell lengths 6.499, 6.499, 6.499 Å; angles 151.65, 151.65, 40.52 degrees
Fractional coordinates of all 3 atoms:
Al  0.000  0.000  0.000
Hg  0.343  0.343  0.000
Hg  0.657  0.657  0.000

Total DFT energy (no corrections) (eV per cell): -143.7
Total magnetization (Bohr magnetons per cell): 0.000
Space-group type: I4/mmm (139)
DFT formation energy (eV per atom): 0.131
ρ (g cm⁻³): 11.5